# Cs3Rb12Hg (PBE, relaxed)
# DOS at the Fermi energy (states/eV/f.u.): 13.80
# Total magnetic moment (Bohr magnetons per cell): 0.00
# Calculated formation energy (eV per atom): -0.01
data_Cs3Rb12Hg
_space_group_name_H-M_alt 'P 4/m m m'
_space_group_IT_number 123
_space_group_name_Hall '-P 4 2'
_cell_length_a 7.107
_cell_length_b 7.107
_cell_length_c 27.569
_cell_angle_alpha 90.00
_cell_angle_beta 90.00
_cell_angle_gamma 90.00
loop_
_atom_site_label
_atom_site_type_symbol
_atom_site_fract_x
_atom_site_fract_y
_atom_site_fract_z
Cs1 Cs 0.000 0.000 0.000
Cs2 Cs 0.000 0.000 0.269
Rb1 Rb 0.000 0.500 0.135
Rb2 Rb 0.000 0.500 0.404
Rb3 Rb 0.500 0.500 0.000
Rb4 Rb 0.500 0.500 0.269
Rb5 Rb 0.500 0.500 0.500
Hg1 Hg 0.000 0.000 0.500

=====

# Cs23Rb6Hg (PBE, relaxed)
# DOS at the Fermi energy (states/eV/f.u.): 34.08
# Total magnetic moment (Bohr magnetons per cell): 0.00
# Calculated formation energy (eV per atom): 0.04
data_Cs23Rb6Hg
_space_group_name_H-M_alt 'F m -3 m'
_space_group_IT_number 225
_space_group_name_Hall '-F 4 2 3'
_cell_length_a 23.693
_cell_length_b 23.693
_cell_length_c 23.693
_cell_angle_alpha 90.00
_cell_angle_beta 90.00
_cell_angle_gamma 90.00
loop_
_atom_site_label
_atom_site_type_symbol
_atom_site_fract_x
_atom_site_fract_y
_atom_site_fract_z
Cs1 Cs 0.000 0.000 0.000
Cs2 Cs 0.000 0.250 0.250
Cs3 Cs 0.119 0.119 0.119
Cs4 Cs 0.158 0.158 0.342
Rb1 Rb 0.000 0.000 0.332
Hg1 Hg 0.000 0.000 0.500

=====

# CsRbHg2 (PBE, relaxed)
# DOS at the Fermi energy (states/eV/f.u.): 2.48
# Total magnetic moment (Bohr magnetons per cell): 0.00
# Calculated formation energy (eV per atom): -0.24
data_CsRbHg2
_space_group_name_H-M_alt 'P 1 m 1'
_space_group_IT_number 6
_space_group_name_Hall 'P -2y'
_cell_length_a 5.380
_cell_length_b 5.342
_cell_length_c 7.329
_cell_angle_alpha 90.00
_cell_angle_beta 111.44
_cell_angle_gamma 90.00
loop_
_atom_site_label
_atom_site_type_symbol
_atom_site_fract_x
_atom_site_fract_y
_atom_site_fract_z
Cs1 Cs 0.000 0.000 0.000
Rb1 Rb 0.288 0.500 0.577
Hg1 Hg 0.587 0.500 0.175
Hg2 Hg 0.709 0.000 0.418

=====

# CsRbHg5 (PBE, relaxed)
# DOS at the Fermi energy (states/eV/f.u.): 4.01
# Total magnetic moment (Bohr magnetons per cell): 0.00
# Calculated formation energy (eV per atom): -0.22
data_CsRbHg5
_space_group_name_H-M_alt 'P n m a'
_space_group_IT_number 62
_space_group_name_Hall '-P 2ac 2n'
_cell_length_a 11.078
_cell_length_b 7.010
_cell_length_c 13.286
_cell_angle_alpha 90.00
_cell_angle_beta 90.00
_cell_angle_gamma 90.00
loop_
_atom_site_label
_atom_site_type_symbol
_atom_site_fract_x
_atom_site_fract_y
_atom_site_fract_z
Cs1 Cs 0.245 0.250 0.060
Rb1 Rb 0.133 0.250 0.369
Hg1 Hg 0.032 0.250 0.630
Hg2 Hg 0.065 0.523 0.825
Hg3 Hg 0.090 0.750 0.035
Hg4 Hg 0.216 0.750 0.252

=====

# Cs3RbHg8 (PBE, relaxed)
# DOS at the Fermi energy (states/eV/f.u.): 7.36
# Total magnetic moment (Bohr magnetons per cell): 0.00
# Calculated formation energy (eV per atom): -0.22
data_Cs3RbHg8
_space_group_name_H-M_alt 'R 3 m'
_space_group_IT_number 160
_space_group_name_Hall 'R 3 -2"'
_cell_length_a 6.6932
_cell_length_b 6.6932
_cell_length_c 34.3737
_cell_angle_alpha 90.00
_cell_angle_beta 90.00
_cell_angle_gamma 120.00
loop_
_atom_site_label
_atom_site_type_symbol
_atom_site_fract_x
_atom_site_fract_y
_atom_site_fract_z
Cs1 Cs 0.0000 0.0000 0.0000
Cs2 Cs 0.0000 0.0000 0.1243
Cs3 Cs 0.0000 0.0000 0.5013
Rb1 Rb 0.0000 0.0000 0.6243
Hg1 Hg 0.0000 0.0000 0.3118
Hg2 Hg 0.0000 0.0000 0.8128
Hg3 Hg 0.0005 0.5003 0.5637
Hg4 Hg 0.1680 0.3360 0.3948

=====

# CsRb2Hg2 (PBE, relaxed)
# DOS at the Fermi energy (states/eV/f.u.): 3.83
# Total magnetic moment (Bohr magnetons per cell): 0.00
# Calculated formation energy (eV per atom): -0.17
data_CsRb2Hg2
_space_group_name_H-M_alt 'C m c 21'
_space_group_IT_number 36
_space_group_name_Hall 'C 2c -2'
_cell_length_a 5.545
_cell_length_b 17.554
_cell_length_c 11.559
_cell_angle_alpha 90.00
_cell_angle_beta 90.00
_cell_angle_gamma 90.00
loop_
_atom_site_label
_atom_site_type_symbol
_atom_site_fract_x
_atom_site_fract_y
_atom_site_fract_z
Cs1 Cs 0.000 0.084 0.000
Rb1 Rb 0.000 0.193 0.624
Rb2 Rb 0.000 0.381 0.858
Hg1 Hg 0.000 0.284 0.333
Hg2 Hg 0.000 0.437 0.198

=====

# CsRb6Hg6 (PBE, relaxed)
# DOS at the Fermi energy (states/eV/f.u.): 9.25
# Total magnetic moment (Bohr magnetons per cell): 0.00
# Calculated formation energy (eV per atom): -0.15
data_CsRb6Hg6
_space_group_name_H-M_alt 'I m m m'
_space_group_IT_number 71
_space_group_name_Hall '-I 2 2'
_cell_length_a 7.433
_cell_length_b 12.489
_cell_length_c 13.202
_cell_angle_alpha 90.00
_cell_angle_beta 90.00
_cell_angle_gamma 90.00
loop_
_atom_site_label
_atom_site_type_symbol
_atom_site_fract_x
_atom_site_fract_y
_atom_site_fract_z
Cs1 Cs 0.000 0.000 0.000
Rb1 Rb 0.000 0.000 0.344
Rb2 Rb 0.000 0.321 0.000
Rb3 Rb 0.000 0.500 0.321
Hg1 Hg 0.000 0.263 0.500
Hg2 Hg 0.250 0.250 0.250

=====

# Cs3RbHg (PBE, relaxed)
# DOS at the Fermi energy (states/eV/f.u.): 4.61
# Total magnetic moment (Bohr magnetons per cell): 0.00
# Calculated formation energy (eV per atom): -0.02
data_Cs3RbHg
_space_group_name_H-M_alt 'P 63/m m c'
_space_group_IT_number 194
_space_group_name_Hall '-P 6c 2c'
_cell_length_a 6.5081
_cell_length_b 6.5081
_cell_length_c 24.3510
_cell_angle_alpha 90.00
_cell_angle_beta 90.00
_cell_angle_gamma 120.00
loop_
_atom_site_label
_atom_site_type_symbol
_atom_site_fract_x
_atom_site_fract_y
_atom_site_fract_z
Cs1 Cs 0.0000 0.0000 0.2500
Cs2 Cs 0.3333 0.6667 0.1326
Rb1 Rb 0.0000 0.0000 0.0000
Hg1 Hg 0.3333 0.6667 0.7500